# LaPtCl

An optimized crystal structure of LaPtCl (PBE, Alexandria via LeMat-Bulk).

The structure in POSCAR format:
```
LaPtCl
1.0
4.3284 -0.0004 0.1060
2.1603 3.7508 0.1060
-0.0391 -0.0226 10.8724
Pt Cl La
2 2 2
direct
0.3350 0.3350 0.4510
0.6650 0.6650 0.5490
0.3215 0.3215 0.8449
0.6785 0.6785 0.1551
0.9932 0.9932 0.6923
0.0068 0.0068 0.3077
```

- Mass density: 6.95 Mg/m³
- Space-group type: C2/m
- Calculated volume: 29.423 A^3/atom
- Raw total energy: -5.9384 eV per atom